# 1
# HOsIO2 SCAN PBEsol geometry
data_HOsIO2
_chemical_formula_sum 'H1 Os1 I1 O2'
_cell_length_a 3.700
_cell_length_b 3.700
_cell_length_c 5.839
_cell_angle_alpha 90.00
_cell_angle_beta 90.00
_cell_angle_gamma 90.00
_symmetry_space_group_name_H-M 'P 4/m m m'
_symmetry_Int_Tables_number 123
_symmetry_space_group_name_Hall '-P 4 2'
loop_
_atom_site_label
_atom_site_fract_x
_atom_site_fract_y
_atom_site_fract_z
H1 0.000 0.000 0.000
Os1 0.500 0.500 0.500
I1 0.500 0.500 0.000
O1 0.000 0.500 0.500
# - crystal system = tetragonal
# - volume (Å³/cell) = 80
# - calculated density (g/cm3) = 7.3



# 2
# HPtI2O SCAN PBEsol geometry
data_HPtI2O
_chemical_formula_sum 'H1 Pt1 I2 O1'
_cell_length_a 5.655
_cell_length_b 5.655
_cell_length_c 3.685
_cell_angle_alpha 90.00
_cell_angle_beta 90.00
_cell_angle_gamma 90.00
_symmetry_space_group_name_H-M 'P 4/m m m'
_symmetry_Int_Tables_number 123
_symmetry_space_group_name_Hall '-P 4 2'
loop_
_atom_site_label
_atom_site_fract_x
_atom_site_fract_y
_atom_site_fract_z
H1 0.000 0.000 0.000
Pt1 0.500 0.500 0.500
I1 0.000 0.500 0.500
O1 0.500 0.500 0.000
# - crystal system = tetragonal
# - volume (Å³/cell) = 118
# - calculated density (g/cm3) = 6.6



# 3
# HRhIO2 SCAN PBEsol geometry
data_HRhIO2
_chemical_formula_sum 'H1 Rh1 I1 O2'
_cell_length_a 3.971
_cell_length_b 3.971
_cell_length_c 3.466
_cell_angle_alpha 90.00
_cell_angle_beta 90.00
_cell_angle_gamma 90.00
_symmetry_space_group_name_H-M 'P 4/m m m'
_symmetry_Int_Tables_number 123
_symmetry_space_group_name_Hall '-P 4 2'
loop_
_atom_site_label
_atom_site_fract_x
_atom_site_fract_y
_atom_site_fract_z
H1 0.000 0.000 0.000
Rh1 0.500 0.500 0.500
I1 0.000 0.000 0.500
O1 0.000 0.500 0.000
# - crystal system = tetragonal
# - volume (Å³/cell) = 55
# - calculated density (g/cm3) = 8.0



# 4
# SbHI2O SCAN PBEsol geometry
data_SbHI2O
_chemical_formula_sum 'Sb1 H1 I2 O1'
_cell_length_a 5.477
_cell_length_b 5.477
_cell_length_c 4.246
_cell_angle_alpha 90.00
_cell_angle_beta 90.00
_cell_angle_gamma 90.00
_symmetry_space_group_name_H-M 'P 4/m m m'
_symmetry_Int_Tables_number 123
_symmetry_space_group_name_Hall '-P 4 2'
loop_
_atom_site_label
_atom_site_fract_x
_atom_site_fract_y
_atom_site_fract_z
Sb1 0.000 0.000 0.000
H1 0.500 0.500 0.000
I1 0.000 0.500 0.500
O1 0.000 0.000 0.500
# - crystal system = tetragonal
# - volume (Å³/cell) = 127
# - calculated density (g/cm3) = 5.1



# 5
# ScHI2O SCAN PBEsol geometry
data_ScHI2O
_chemical_formula_sum 'Sc1 H1 I2 O1'
_cell_length_a 5.987
_cell_length_b 5.987
_cell_length_c 3.768
_cell_angle_alpha 90.00
_cell_angle_beta 90.00
_cell_angle_gamma 90.00
_symmetry_space_group_name_H-M 'P 4/m m m'
_symmetry_Int_Tables_number 123
_symmetry_space_group_name_Hall '-P 4 2'
loop_
_atom_site_label
_atom_site_fract_x
_atom_site_fract_y
_atom_site_fract_z
Sc1 0.000 0.000 0.000
H1 0.500 0.500 0.500
I1 0.000 0.500 0.000
O1 0.000 0.000 0.500
# - crystal system = tetragonal
# - volume (Å³/cell) = 135
# - calculated density (g/cm3) = 3.9



# 6
# SrHIO SCAN PBEsol geometry
data_SrHIO
_chemical_formula_sum 'Sr4 H4 I4 O4'
_cell_length_a 7.628
_cell_length_b 4.185
_cell_length_c 10.725
_cell_angle_alpha 90.00
_cell_angle_beta 90.00
_cell_angle_gamma 90.00
_symmetry_space_group_name_H-M 'P n m a'
_symmetry_Int_Tables_number 62
loop_
_symmetry_equiv_pos_as_xyz
'x,y,z'
'-x,-y,-z'
'-x+1/2,-y,z+1/2'
'x+1/2,y,-z+1/2'
'x+1/2,-y+1/2,-z+1/2'
'-x+1/2,y+1/2,z+1/2'
'-x,y+1/2,-z'
'x,-y+1/2,z'
loop_
_atom_site_label
_atom_site_fract_x
_atom_site_fract_y
_atom_site_fract_z
Sr1 0.178 0.250 0.081
H1 0.225 0.750 0.903
I1 0.029 0.750 0.323
O1 0.134 0.750 0.968
# - crystal system = orthorhombic
# - volume (Å³/cell) = 342
# - calculated density (g/cm3) = 4.5



# 7
# SrH2I2O7 SCAN PBEsol geometry
data_SrH2I2O7
_chemical_formula_sum 'Sr4 H8 I8 O28'
_cell_length_a 12.853
_cell_length_b 7.650
_cell_length_c 8.792
_cell_angle_alpha 90.00
_cell_angle_beta 131.29
_cell_angle_gamma 90.00
_symmetry_space_group_name_H-M 'C 1 2/c 1'
_symmetry_Int_Tables_number 15
loop_
_symmetry_equiv_pos_as_xyz
'x,y,z'
'-x,-y,-z'
'-x,y,-z+1/2'
'x,-y,z+1/2'
'x+1/2,y+1/2,z'
'-x+1/2,-y+1/2,-z'
'-x+1/2,y+1/2,-z+1/2'
'x+1/2,-y+1/2,z+1/2'
loop_
_atom_site_label
_atom_site_fract_x
_atom_site_fract_y
_atom_site_fract_z
Sr1 0.000 0.158 0.250
H1 0.027 0.238 0.688
I1 0.185 0.468 0.171
O1 0.000 0.164 0.750
O2 0.072 0.335 0.565
O3 0.149 0.077 0.170
O4 0.178 0.417 0.368
# - crystal system = monoclinic
# - volume (Å³/cell) = 650
# - calculated density (g/cm3) = 4.7



# 8
# ZnHI2O SCAN PBEsol geometry
data_ZnHI2O
_chemical_formula_sum 'Zn1 H1 I2 O1'
_cell_length_a 6.136
_cell_length_b 6.136
_cell_length_c 2.740
_cell_angle_alpha 90.00
_cell_angle_beta 90.00
_cell_angle_gamma 90.00
_symmetry_space_group_name_H-M 'P 4/m m m'
_symmetry_Int_Tables_number 123
_symmetry_space_group_name_Hall '-P 4 2'
loop_
_atom_site_label
_atom_site_fract_x
_atom_site_fract_y
_atom_site_fract_z
Zn1 0.000 0.000 0.000
H1 0.500 0.500 0.500
I1 0.000 0.500 0.500
O1 0.500 0.500 0.000
# - crystal system = tetragonal
# - volume (Å³/cell) = 103
# - calculated density (g/cm3) = 5.4



# 9
# HOs2I SCAN PBEsol geometry
data_HOs2I
_chemical_formula_sum 'H4 Os8 I4'
_cell_length_a 4.982
_cell_length_b 4.982
_cell_length_c 9.331
_cell_angle_alpha 90.00
_cell_angle_beta 90.00
_cell_angle_gamma 90.00
_symmetry_space_group_name_H-M 'I -4 2 d'
_symmetry_Int_Tables_number 122
_symmetry_space_group_name_Hall 'I -4 2bw'
loop_
_atom_site_label
_atom_site_fract_x
_atom_site_fract_y
_atom_site_fract_z
H1 0.000 0.000 0.000
Os1 0.114 0.250 0.125
I1 0.000 0.000 0.500
# - crystal system = tetragonal
# - volume (Å³/cell) = 232
# - calculated density (g/cm3) = 14.6



# 10
# HOs2SeI SCAN PBEsol geometry
data_HOs2SeI
_chemical_formula_sum 'H1 Os2 Se1 I1'
_cell_length_a 4.852
_cell_length_b 4.852
_cell_length_c 5.511
_cell_angle_alpha 90.00
_cell_angle_beta 90.00
_cell_angle_gamma 90.00
_symmetry_space_group_name_H-M 'P 4/m m m'
_symmetry_Int_Tables_number 123
_symmetry_space_group_name_Hall '-P 4 2'
loop_
_atom_site_label
_atom_site_fract_x
_atom_site_fract_y
_atom_site_fract_z
H1 0.000 0.000 0.000
Os1 0.000 0.500 0.500
Se1 0.500 0.500 0.000
I1 0.500 0.500 0.500
# - crystal system = tetragonal
# - volume (Å³/cell) = 130
# - calculated density (g/cm3) = 7.5



# 11
# PH4I SCAN PBEsol geometry
data_PH4I
_chemical_formula_sum 'P2 H8 I2'
_cell_length_a 6.080
_cell_length_b 6.080
_cell_length_c 4.447
_cell_angle_alpha 90.00
_cell_angle_beta 90.00
_cell_angle_gamma 90.00
_symmetry_space_group_name_H-M 'P 4/n m m'
_symmetry_Int_Tables_number 129
loop_
_symmetry_equiv_pos_as_xyz
'x,y,z'
'-x,-y,-z'
'-y+1/2,x,z'
'y+1/2,-x,-z'
'-x+1/2,-y+1/2,z'
'x+1/2,y+1/2,-z'
'y,-x+1/2,z'
'-y,x+1/2,-z'
'x+1/2,-y,-z'
'-x+1/2,y,z'
'-y,-x,-z'
'y,x,z'
'-x,y+1/2,-z'
'x,-y+1/2,z'
'y+1/2,x+1/2,-z'
'-y+1/2,-x+1/2,z'
loop_
_atom_site_label
_atom_site_fract_x
_atom_site_fract_y
_atom_site_fract_z
P1 0.250 0.750 0.000
H1 0.060 0.750 0.190
I1 0.250 0.250 0.400
# - crystal system = tetragonal
# - volume (Å³/cell) = 164
# - calculated density (g/cm3) = 3.3



# 12
# P2HI SCAN PBEsol geometry
data_P2HI
_chemical_formula_sum 'P8 H4 I4'
_cell_length_a 4.538
_cell_length_b 4.538
_cell_length_c 13.943
_cell_angle_alpha 90.00
_cell_angle_beta 90.00
_cell_angle_gamma 90.00
_symmetry_space_group_name_H-M 'I 41/a m d'
_symmetry_Int_Tables_number 141
loop_
_symmetry_equiv_pos_as_xyz
'x,y,z'
'-x,-y,-z'
'-y+1/4,x+3/4,z+1/4'
'y+1/4,-x+3/4,-z+1/4'
'-x+1/2,-y,z+1/2'
'x+1/2,y,-z+1/2'
'y+1/4,-x+1/4,z+3/4'
'-y+1/4,x+1/4,-z+3/4'
'x,-y,-z'
'-x,y,z'
'-y+1/4,-x+1/4,-z+3/4'
'y+1/4,x+1/4,z+3/4'
'-x+1/2,y,-z+1/2'
'x+1/2,-y,z+1/2'
'y+1/4,x+3/4,-z+1/4'
'-y+1/4,-x+3/4,z+1/4'
'x+1/2,y+1/2,z+1/2'
'-x+1/2,-y+1/2,-z+1/2'
'-y+3/4,x+1/4,z+3/4'
'y+3/4,-x+1/4,-z+3/4'
'-x,-y+1/2,z'
'x,y+1/2,-z'
'y+3/4,-x+3/4,z+1/4'
'-y+3/4,x+3/4,-z+1/4'
'x+1/2,-y+1/2,-z+1/2'
'-x+1/2,y+1/2,z+1/2'
'-y+3/4,-x+3/4,-z+1/4'
'y+3/4,x+3/4,z+1/4'
'-x,y+1/2,-z'
'x,-y+1/2,z'
'y+3/4,x+1/4,-z+3/4'
'-y+3/4,-x+1/4,z+3/4'
loop_
_atom_site_label
_atom_site_fract_x
_atom_site_fract_y
_atom_site_fract_z
P1 0.000 0.000 0.000
H1 0.000 0.250 0.875
I1 0.000 0.250 0.375
# - crystal system = tetragonal
# - volume (Å³/cell) = 287
# - calculated density (g/cm3) = 4.4



Across the entries above, VASP energy takes the values -24.96, -30.22, -16.20, -23.44, -20.27, -19.19, -13.34, -18.94, -44.93, -37.88, -10.29, -14.25 eV/atom, respectively.